The following is a DFT calculation (PBE) of a geometry-optimized Li3Ta2In3O12 structure.

Cell lengths 10.4833, 10.4833, 10.4833 Å; angles 109.47, 109.47, 109.47 degrees
Positions (direct):
O 0.2877 0.8218 0.9098
Li 0.7500 0.3750 0.1250
O 0.0340 0.8218 0.9119
O 0.9119 0.5340 0.3218
O 0.9660 0.2877 0.8779
Li 0.6250 0.8750 0.2500
O 0.9660 0.1782 0.0881
O 0.8218 0.2877 0.4098
Li 0.6250 0.2500 0.3750
O 0.4119 0.5902 0.8779
O 0.6221 0.9098 0.0881
O 0.1221 0.0881 0.9098
O 0.9098 0.6221 0.5881
O 0.1221 0.5340 0.2123
O 0.9098 0.7877 0.3218
O 0.8218 0.0340 0.4119
O 0.8779 0.4660 0.7877
O 0.4098 0.5881 0.6221
O 0.7123 0.1782 0.0902
Ta 0.5000 0.5000 0.5000
In 0.8750 0.1250 0.2500
In 0.2500 0.3750 0.6250
O 0.3218 0.4119 0.0340
In 0.6250 0.7500 0.8750
O 0.5881 0.6782 0.4660
O 0.4119 0.3218 0.5340
O 0.5881 0.4098 0.1221
O 0.0881 0.4660 0.6782
O 0.4660 0.8779 0.2877
Li 0.2500 0.1250 0.3750
Ta 0.5000 0.0000 0.5000
Li 0.2500 0.6250 0.8750
O 0.9119 0.8779 0.5902
Ta 0.0000 0.5000 0.5000
O 0.3218 0.4098 0.2877
O 0.6221 0.2123 0.5340
Ta 0.0000 0.5000 0.0000
O 0.4098 0.3218 0.7877
Ta 0.5000 0.0000 0.0000
In 0.1250 0.7500 0.3750
Li 0.1250 0.3750 0.2500
In 0.3750 0.2500 0.1250
In 0.1250 0.8750 0.7500
In 0.3750 0.6250 0.2500
In 0.7500 0.6250 0.3750
O 0.0340 0.7123 0.1221
In 0.8750 0.2500 0.6250
O 0.1782 0.7123 0.5902
O 0.5902 0.6782 0.2123
Li 0.3750 0.7500 0.6250
O 0.8779 0.9119 0.0902
O 0.7123 0.0340 0.6221
Li 0.8750 0.6250 0.7500
Ta 0.0000 0.0000 0.5000
O 0.7877 0.3779 0.9660
O 0.5340 0.9119 0.8218
In 0.7500 0.1250 0.8750
In 0.2500 0.8750 0.1250
O 0.7877 0.9098 0.8218
Li 0.8750 0.7500 0.1250
O 0.2123 0.0902 0.1782
In 0.6250 0.3750 0.7500
Li 0.1250 0.2500 0.8750
O 0.2123 0.6221 0.0340
O 0.5340 0.1221 0.7123
O 0.3779 0.7877 0.4660
O 0.1782 0.9660 0.5881
O 0.6782 0.5881 0.9660
Li 0.3750 0.1250 0.7500
O 0.6782 0.5902 0.7123
O 0.2877 0.9660 0.3779
Ta 0.0000 0.0000 0.0000
O 0.5902 0.4119 0.3779
O 0.0881 0.1221 0.4098
Ta 0.5000 0.5000 0.0000
O 0.3779 0.0902 0.9119
O 0.4660 0.0881 0.1782
O 0.0902 0.2123 0.6782
O 0.0902 0.3779 0.4119
Li 0.7500 0.8750 0.6250

Summary:
Theoretical density: 6.88 g/cm3
Energy: -6.688 eV/atom

***

The following is a DFT calculation (PBE) of a geometry-optimized Li4InTcO6 structure.

Cell lengths 5.2591, 5.2591, 5.1659 Å; angles 99.93, 99.93, 119.93 degrees
Positions (direct):
O 0.9366 0.6058 0.2340
O 0.2476 0.2238 0.2419
Tc 0.1675 0.8325 0.0000
Li 0.6576 0.3424 0.5000
O 0.0866 0.4450 0.7579
Li 0.0052 0.9948 0.5000
Li 0.3394 0.6606 0.5000
Li 0.4996 0.5004 0.0000
In 0.8344 0.1656 0.0000
O 0.3942 0.0634 0.7660
O 0.5550 0.9134 0.2421
O 0.7762 0.7524 0.7581

Summary:
Theoretical density: 4.81 g/cm3
Energy: -5.923 eV/atom

***

The following is a DFT calculation (PBE) of a geometry-optimized Li2TaIn2Os2W structure.

Cell lengths 4.4704, 4.4704, 6.3174 Å; angles 90.00, 90.00, 90.00 degrees
Positions (direct):
In 0.0000 0.0000 0.5000
In 0.5000 0.5000 0.0000
Os 0.5000 0.0000 0.7424
W 0.5000 0.5000 0.5000
Li 0.5000 0.0000 0.2514
Ta 0.0000 0.0000 0.0000
Os 0.0000 0.5000 0.2576
Li 0.0000 0.5000 0.7486

Summary:
Theoretical density: 13.00 g/cm3
Energy: -7.081 eV/atom

***

The following is a DFT calculation (PBE) of a geometry-optimized Li4InPPd2 structure.

Cell lengths 4.2608, 4.2608, 6.2528 Å; angles 90.00, 90.00, 90.00 degrees
Positions (direct):
P 0.5000 0.5000 0.5000
Pd 0.0000 0.5000 0.2842
Pd 0.5000 0.0000 0.7158
Li 0.0000 0.0000 0.5000
Li 0.5000 0.5000 0.0000
In 0.0000 0.0000 0.0000
Li 0.0000 0.5000 0.7209
Li 0.5000 0.0000 0.2791

Summary:
Theoretical density: 5.65 g/cm3
Energy: -3.826 eV/atom

***

The following is a DFT calculation (PBE) of a geometry-optimized Li4InPPt2 structure.

Cell lengths 4.2143, 4.2143, 6.3514 Å; angles 90.00, 90.00, 90.00 degrees
Positions (direct):
Li 0.5000 0.5000 0.0000
Pt 0.0000 0.5000 0.7120
Pt 0.5000 0.0000 0.2880
In 0.0000 0.0000 0.0000
Li 0.5000 0.0000 0.7217
Li 0.0000 0.0000 0.5000
P 0.5000 0.5000 0.5000
Li 0.0000 0.5000 0.2783

Summary:
Theoretical density: 8.30 g/cm3
Energy: -4.109 eV/atom

***

The following is a DFT calculation (PBE) of a geometry-optimized LiPaIn structure.

Cell lengths 5.0139, 5.0139, 5.0139 Å; angles 60.00, 60.00, 60.00 degrees
Positions (direct):
Pa 0.0000 0.0000 0.0000
In 0.2500 0.2500 0.2500
Li 0.7500 0.7500 0.7500

Summary:
Offset from the most stable computed form: 0.372 eV per atom
Theoretical density: 6.57 g/cm3